--- one ---
A plane-wave DFT calculation with PBE-GGA was carried out for a relaxed structure of Na3MgCr.

abc: 5.8160 5.8160 5.8160
angles: 90.00 90.00 90.00
Last column: nearest neighbours and their distance in Å.
Space group Pm-3m (No. 221)
Inequivalent atoms, fractional coordinates:
Na  0.0000  0.0000  0.5000 [3 per cell]  2 Mg 2.91
Mg  0.0000  0.0000  0.0000 [1 per cell]  6 Na 2.91
Cr  0.5000  0.5000  0.5000 [1 per cell]  12 Na 4.11

--- two ---
A plane-wave DFT calculation with PBE-GGA was carried out for a relaxed structure of Na3MgCr.

abc: 5.7744 5.7744 5.7744
angles: 90.00 90.00 90.00
Last column: nearest neighbours and their distance in Å.
Space group Pm-3m (No. 221)
Inequivalent atoms, fractional coordinates:
Na  0.0000  0.0000  0.5000 [3 per cell]  2 Cr 2.89
Mg  0.5000  0.5000  0.5000 [1 per cell]  12 Na 4.08
Cr  0.0000  0.0000  0.0000 [1 per cell]  6 Na 2.89

Most stable: two. Least stable: one.

--- one ---
A plane-wave DFT calculation with PBE-GGA was carried out for a relaxed structure of MgNbCr3.

abc: 4.7560 4.7560 4.7560
angles: 90.00 90.00 90.00
Last column: nearest neighbours and their distance in Å.
Space group Pm-3m (No. 221)
Inequivalent atoms, fractional coordinates:
Mg  0.0000  0.0000  0.0000 [1 per cell]  12 Cr 3.36
Nb  0.5000  0.5000  0.5000 [1 per cell]  6 Cr 2.38
Cr  0.0000  0.5000  0.5000 [3 per cell]  2 Nb 2.38

--- two ---
A plane-wave DFT calculation with PBE-GGA was carried out for a relaxed structure of MgNbCr3.

abc: 4.5216 4.5216 4.5216
angles: 90.00 90.00 90.00
Last column: nearest neighbours and their distance in Å.
Space group Pm-3m (No. 221)
Inequivalent atoms, fractional coordinates:
Mg  0.0000  0.0000  0.0000 [1 per cell]  6 Cr 2.26
Nb  0.5000  0.5000  0.5000 [1 per cell]  12 Cr 3.20
Cr  0.0000  0.0000  0.5000 [3 per cell]  2 Mg 2.26

Most stable: one. Least stable: two.

--- one ---
A plane-wave DFT calculation with PBE-GGA was carried out for a relaxed structure of Mg2NbCr.

abc: 7.5021 7.5021 5.1535
angles: 90.00 90.00 90.00
Last column: nearest neighbours and their distance in Å.
Space group I-42d (No. 122)
Inequivalent atoms, fractional coordinates:
Mg  0.2234  0.2500  0.1250 [8 per cell]  2 Cr 2.60, 2 Mg 2.61, 2 Nb 2.87
Nb  0.0000  0.0000  0.5000 [4 per cell]  2 Cr 2.58, 4 Mg 2.87
Cr  0.0000  0.0000  0.0000 [4 per cell]  2 Nb 2.58, 4 Mg 2.60

--- two ---
A plane-wave DFT calculation with PBE-GGA was carried out for a relaxed structure of Mg2NbCr.

abc: 6.4984 6.4984 6.4984
angles: 90.00 90.00 90.00
Last column: nearest neighbours and their distance in Å.
Space group Fm-3m (No. 225)
Inequivalent atoms, fractional coordinates:
Mg  0.2500  0.2500  0.2500 [8 per cell]  4 Cr 2.81, 4 Nb 2.81
Nb  0.0000  0.0000  0.0000 [4 per cell]  8 Mg 2.81
Cr  0.0000  0.0000  0.5000 [4 per cell]  8 Mg 2.81

Most stable: two. Least stable: one.

--- one ---
A plane-wave DFT calculation with PBE-GGA was carried out for a relaxed structure of MgCrNi.

abc: 4.5862 2.7156 6.6751
angles: 90.00 91.58 90.00
Last column: nearest neighbours and their distance in Å.
Space group Pm (No. 6)
Inequivalent atoms, fractional coordinates:
Mg  0.0000  0.0000  0.0000 [1 per cell]  3 Ni 2.62-2.73, 2 Mg 2.72, 6 Cr 2.78-2.86
Mg  0.4836  0.0000  0.7143 [1 per cell]  5 Ni 2.66-2.70, 3 Mg 2.72-2.96
Cr  0.2431  0.5000  0.3419 [1 per cell]  1 Cr 1.94
Cr  0.5036  0.5000  0.1184 [1 per cell]  1 Cr 1.94
Ni  0.7724  0.0000  0.3736 [1 per cell]  4 Cr 2.48-2.56, 4 Ni 2.54-2.72, 2 Mg 2.66-2.73
Ni  0.9855  0.5000  0.6643 [1 per cell]  1 Cr 2.48, 4 Ni 2.54-2.72, 6 Mg 2.62-2.70

--- two ---
A plane-wave DFT calculation with PBE-GGA was carried out for a relaxed structure of MgCrNi.

abc: 4.1417 3.0187 6.9893
angles: 90.00 107.05 90.00
Last column: nearest neighbours and their distance in Å.
Space group P2/m (No. 10)
Inequivalent atoms, fractional coordinates:
Mg  0.1759  0.0000  0.3528 [2 per cell]  6 Ni 2.59-2.79, 2 Cr 2.80, 2 Mg 2.85-2.86
Cr  0.0000  0.5000  0.0000 [1 per cell]  4 Cr 2.56, 4 Mg 2.80, 4 Ni 2.86-2.87
Cr  0.5000  0.0000  0.0000 [1 per cell]  4 Ni 2.49, 4 Cr 2.56
Ni  0.3520  0.5000  0.7036 [2 per cell]  2 Cr 2.49, 6 Mg 2.59-2.79

--- three ---
A plane-wave DFT calculation with PBE-GGA was carried out for a relaxed structure of MgCrNi.

abc: 9.5869 2.8264 6.5416
angles: 90.00 103.51 90.00
Last column: nearest neighbours and their distance in Å.
Space group Cm (No. 8)
Inequivalent atoms, fractional coordinates:
Mg  0.0000  0.0000  0.0000 [2 per cell]  5 Ni 2.59-2.68, 2 Mg 2.83
Mg  0.2421  0.5000  0.3265 [2 per cell]  4 Ni 2.57-2.65, 2 Cr 2.79-2.85, 2 Mg 2.83
Cr  0.0368  0.0000  0.5049 [2 per cell]  2 Cr 2.15
Cr  0.1617  0.5000  0.7196 [2 per cell]  2 Cr 2.15
Ni  0.2752  0.0000  0.0129 [2 per cell]  2 Cr 2.43, 5 Mg 2.57-2.62, 1 Ni 2.65
Ni  0.3687  0.0000  0.6619 [2 per cell]  5 Cr 2.53-2.75, 3 Ni 2.65-2.83, 4 Mg 2.65-2.68

--- four ---
A plane-wave DFT calculation with PBE-GGA was carried out for a relaxed structure of MgCrNi.

abc: 3.4678 3.4678 7.0826
angles: 90.00 90.00 90.00
Last column: nearest neighbours and their distance in Å.
Space group P4/nmm (No. 129, origin choice 2)
Inequivalent atoms, fractional coordinates:
Mg  0.2500  0.2500  0.1408 [2 per cell]  5 Ni 2.58-2.80
Cr  0.2500  0.7500  0.5000 [2 per cell]  4 Cr 2.45, 4 Ni 2.46
Ni  0.2500  0.2500  0.7460 [2 per cell]  4 Cr 2.46, 4 Mg 2.58

Most stable: two. Least stable: one.

--- one ---
A plane-wave DFT calculation with PBE-GGA was carried out for a relaxed structure of MgCrNi.

abc: 3.0135 13.3693 4.1561
angles: 90.00 90.00 90.00
Last column: nearest neighbours and their distance in Å.
Space group Cmcm (No. 63)
Inequivalent atoms, fractional coordinates:
Mg  0.0000  0.0752  0.2500 [4 per cell]  6 Ni 2.59-2.77, 2 Cr 2.85, 2 Mg 2.89
Cr  0.0000  0.2437  0.7500 [4 per cell]  2 Ni 2.45, 4 Cr 2.57
Ni  0.0000  0.4011  0.2500 [4 per cell]  2 Cr 2.45, 4 Mg 2.59

--- two ---
A plane-wave DFT calculation with PBE-GGA was carried out for a relaxed structure of MgCrNi.

abc: 4.0257 10.3163 4.0827
angles: 90.00 90.00 90.00
Last column: nearest neighbours and their distance in Å.
Space group Cmmm (No. 65)
Inequivalent atoms, fractional coordinates:
Mg  0.0000  0.0000  0.0000 [2 per cell]  4 Ni 2.72, 4 Cr 2.84, 4 Mg 2.87
Mg  0.0000  0.5000  0.5000 [2 per cell]  4 Ni 2.74, 4 Cr 2.82, 4 Mg 2.87
Cr  0.0000  0.1908  0.5000 [4 per cell]  2 Cr 2.35, 2 Ni 2.45
Ni  0.0000  0.3228  0.0000 [4 per cell]  2 Cr 2.45, 2 Ni 2.51, 4 Mg 2.72-2.74

--- three ---
A plane-wave DFT calculation with PBE-GGA was carried out for a relaxed structure of MgCrNi.

abc: 2.6393 4.7153 7.0477
angles: 107.13 91.71 103.07
Last column: nearest neighbours and their distance in Å.
Space group P-1 (No. 2)
Inequivalent atoms, fractional coordinates:
Mg  0.1808  0.3142  0.1187 [2 per cell]  5 Ni 2.57-2.81, 3 Mg 2.64-2.86, 1 Cr 2.82
Cr  0.0768  0.2938  0.5124 [2 per cell]  1 Cr 2.13
Ni  0.4540  0.9020  0.2461 [2 per cell]  4 Cr 2.46-2.61, 2 Mg 2.57-2.59, 2 Ni 2.64

--- four ---
A plane-wave DFT calculation with PBE-GGA was carried out for a relaxed structure of MgCrNi.

abc: 5.9872 5.9872 5.9872
angles: 90.00 90.00 90.00
Last column: nearest neighbours and their distance in Å.
Space group F-43m (No. 216)
Inequivalent atoms, fractional coordinates:
Mg  0.0000  0.0000  0.0000 [4 per cell]  4 Ni 2.59, 4 Cr 2.59
Cr  0.2500  0.2500  0.7500 [4 per cell]  4 Mg 2.59
Ni  0.2500  0.2500  0.2500 [4 per cell]  4 Mg 2.59

Most stable: one. Least stable: four.

--- one ---
A plane-wave DFT calculation with PBE-GGA was carried out for a relaxed structure of MgCrNi.

abc: 7.3220 4.2387 5.4138
angles: 90.00 90.12 90.00
Last column: nearest neighbours and their distance in Å.
Space group Cm (No. 8)
Inequivalent atoms, fractional coordinates:
Mg  0.0000  0.0000  0.0000 [2 per cell]  5 Ni 2.57-2.72, 3 Cr 2.68
Mg  0.1665  0.5000  0.6820 [2 per cell]  2 Cr 2.60-2.81, 6 Ni 2.61-2.64
Cr  0.1666  0.5000  0.2017 [2 per cell]  3 Cr 2.55-2.56, 5 Mg 2.60-2.81
Cr  0.3333  0.0000  0.3399 [2 per cell]  3 Cr 2.55-2.56, 5 Ni 2.59-2.77
Ni  0.9996  0.0000  0.4972 [2 per cell]  3 Cr 2.59, 5 Mg 2.64-2.72
Ni  0.3335  0.0000  0.8518 [2 per cell]  6 Mg 2.57-2.61, 2 Cr 2.64-2.77

--- two ---
A plane-wave DFT calculation with PBE-GGA was carried out for a relaxed structure of MgCrNi.

abc: 5.2982 4.1498 7.8832
angles: 90.00 90.00 90.00
Last column: nearest neighbours and their distance in Å.
Space group Pnma (No. 62)
Inequivalent atoms, fractional coordinates:
Mg  0.1674  0.2500  0.0715 [4 per cell]  5 Ni 2.60-2.67, 5 Cr 2.81-2.89
Cr  0.0527  0.2500  0.7197 [4 per cell]  3 Ni 2.56-2.58, 2 Cr 2.69, 3 Mg 2.81-2.84
Ni  0.1651  0.2500  0.4008 [4 per cell]  3 Cr 2.56-2.58, 5 Mg 2.60-2.67

Most stable: one. Least stable: two.